(1)
# Ac8InPb5

Crystalline Ac8InPb5 at its relaxed geometry (PBE, the Alexandria database).

## Properties
SG: I-4 (82)
ρ in g/cm3: 9.0
Spin magnetization in μB per formula unit: 0.00
ΔE_f in meV/atom: -507

Cell lengths 8.9129, 8.9129, 8.9129 Å; angles 109.49, 109.49, 109.44 degrees
Last column: nearest neighbours and their distance in Å.
Atoms (fractional coordinates):
1 Ac 0.0141 0.1281 0.7523  1 In 3.40, 5 Pb 3.41-3.75
2 Ac 0.2374 0.4847 0.6101  5 Pb 3.41-3.71, 1 In 3.74
3 Ac 0.3727 0.7625 0.2473  5 Pb 3.41-3.71, 1 In 3.74
4 Ac 0.3758 0.2619 0.2477  1 In 3.40, 5 Pb 3.41-3.75
5 Ac 0.5153 0.1254 0.7527  5 Pb 3.41-3.71, 1 In 3.74
6 Ac 0.7381 0.9859 0.1140  1 In 3.40, 5 Pb 3.41-3.75
7 Ac 0.8719 0.6242 0.8860  1 In 3.40, 5 Pb 3.41-3.75
8 Ac 0.8746 0.6273 0.3899  5 Pb 3.41-3.71, 1 In 3.74
9 In 0.7500 0.2500 0.5000  8 Ac 3.40-3.74
10 Pb 0.1279 0.0008 0.3768  8 Ac 3.41-3.75
11 Pb 0.2489 0.8721 0.8729  8 Ac 3.41-3.75
12 Pb 0.5000 0.5000 0.0000  8 Ac 3.41-3.71
13 Pb 0.6240 0.7511 0.6232  8 Ac 3.41-3.75
14 Pb 0.9992 0.3760 0.1271  8 Ac 3.41-3.75



(2)
# Ac4In2Pb

Crystalline Ac4In2Pb at its relaxed geometry (PBE, the Alexandria database).

## Properties
SG: R-3m (166)
ρ in g/cm3: 8.2
Spin magnetization in μB per formula unit: 0.00
ΔE_f in meV/atom: -298

Cell lengths 9.9651, 9.9651, 9.9651 Å; angles 33.66, 33.66, 33.66 degrees
Last column: nearest neighbours and their distance in Å.
Atoms (fractional coordinates):
1 Ac 0.1210 0.1210 0.1210  4 In 3.52-3.71, 3 Pb 3.57
2 Ac 0.3730 0.3730 0.3730  4 In 3.39-3.52, 1 Pb 3.58
3 Ac 0.6270 0.6270 0.6270  4 In 3.39-3.52, 1 Pb 3.58
4 Ac 0.8790 0.8790 0.8790  4 In 3.52-3.71, 3 Pb 3.57
5 In 0.2528 0.2528 0.2528  8 Ac 3.39-3.71
6 In 0.7472 0.7472 0.7472  8 Ac 3.39-3.71
7 Pb 0.5000 0.5000 0.5000  8 Ac 3.57-3.58



(3)
# AcInPb

Crystalline AcInPb at its relaxed geometry (PBE, the Alexandria database).

## Properties
SG: P2_1/m (11)
ρ in g/cm3: 8.3
Spin magnetization in μB per formula unit: 0.00
Energy relative to the lowest polymorph listed for this composition in meV/atom: 96.8
ΔE_f in meV/atom: -333

Cell lengths 7.0105, 4.8540, 7.2126 Å; angles 90.00, 116.50, 90.00 degrees
Last column: nearest neighbours and their distance in Å.
Atoms (fractional coordinates):
1 Ac 0.1586 0.2500 0.3200  4 Pb 3.40-3.57, 3 In 3.48-3.51
2 Ac 0.8414 0.7500 0.6800  4 Pb 3.40-3.57, 3 In 3.48-3.51
3 In 0.2437 0.2500 0.8806  3 Pb 3.06-3.14
4 In 0.7563 0.7500 0.1194  3 Pb 3.06-3.14
5 Pb 0.3535 0.7500 0.6874  3 In 3.06-3.14, 2 Ac 3.40
6 Pb 0.6465 0.2500 0.3126  3 In 3.06-3.14, 2 Ac 3.40



(4)
# AcInPb

Crystalline AcInPb at its relaxed geometry (PBE, the Alexandria database).

## Properties
SG: F-43m (216)
ρ in g/cm3: 8.2
Spin magnetization in μB per formula unit: 0.00
Energy relative to the lowest polymorph listed for this composition in meV/atom: 223.3
ΔE_f in meV/atom: -206

Cell lengths 7.6331, 7.6331, 7.6331 Å; angles 90.00, 90.00, 90.00 degrees
Last column: nearest neighbours and their distance in Å.
Atoms (fractional coordinates):
1 Ac 0.0000 0.0000 0.0000  4 In 3.31
2 Ac 0.0000 0.5000 0.5000  4 In 3.31
3 Ac 0.5000 0.0000 0.5000  4 In 3.31
4 Ac 0.5000 0.5000 0.0000  4 In 3.31
5 In 0.2500 0.2500 0.7500  4 Ac 3.31, 4 Pb 3.31
6 In 0.2500 0.7500 0.2500  4 Ac 3.31, 4 Pb 3.31
7 In 0.7500 0.2500 0.2500  4 Ac 3.31, 4 Pb 3.31
8 In 0.7500 0.7500 0.7500  4 Ac 3.31, 4 Pb 3.31
9 Pb 0.0000 0.0000 0.5000  4 In 3.31
10 Pb 0.0000 0.5000 0.0000  4 In 3.31
11 Pb 0.5000 0.0000 0.0000  4 In 3.31
12 Pb 0.5000 0.5000 0.5000  4 In 3.31



(5)
# AcInPb4

Crystalline AcInPb4 at its relaxed geometry (PBE, the Alexandria database).

## Properties
SG: F-43m (216)
ρ in g/cm3: 9.8
Spin magnetization in μB per formula unit: 0.00
ΔE_f in meV/atom: -158

Cell lengths 6.5552, 6.5552, 6.5552 Å; angles 60.00, 60.00, 60.00 degrees
Last column: nearest neighbours and their distance in Å.
Atoms (fractional coordinates):
1 Ac 0.0000 0.0000 0.0000  12 Pb 3.84, 4 In 4.01
2 In 0.7500 0.7500 0.7500  12 Pb 3.84, 4 Ac 4.01
3 Pb 0.3746 0.3746 0.3746  6 Pb 3.27-3.29
4 Pb 0.3746 0.3746 0.8762  6 Pb 3.27-3.29
5 Pb 0.3746 0.8762 0.3746  6 Pb 3.27-3.29
6 Pb 0.8762 0.3746 0.3746  6 Pb 3.27-3.29



(6)
# Ac2In12Pb

Crystalline Ac2In12Pb at its relaxed geometry (PBE, the Alexandria database).

## Properties
SG: P4/nbm (125)
ρ in g/cm3: 7.5
Spin magnetization in μB per formula unit: 0.00
ΔE_f in meV/atom: -160

Cell lengths 6.7106, 6.7106, 19.9511 Å; angles 90.00, 90.00, 90.00 degrees
Last column: nearest neighbours and their distance in Å.
Atoms (fractional coordinates):
1 Ac 0.2500 0.7500 0.2252  14 In 3.59-3.99
2 Ac 0.2500 0.7500 0.7748  14 In 3.59-3.99
3 Ac 0.7500 0.2500 0.2252  14 In 3.59-3.99
4 Ac 0.7500 0.2500 0.7748  14 In 3.59-3.99
5 In 0.0032 0.5032 0.3851  6 In 3.04-3.36, 2 Pb 3.28-3.32
6 In 0.0032 0.9968 0.6149  6 In 3.04-3.36, 2 Pb 3.28-3.32
7 In 0.0788 0.5788 0.9360  4 In 2.96-3.25
8 In 0.0788 0.9212 0.0640  4 In 2.96-3.25
9 In 0.2500 0.2500 0.1477  5 In 2.83-3.00
10 In 0.2500 0.2500 0.2896  5 In 2.83-3.04
11 In 0.2500 0.2500 0.7104  5 In 2.83-3.04
12 In 0.2500 0.2500 0.8523  5 In 2.83-3.00
13 In 0.4212 0.5788 0.0640  4 In 2.96-3.25
14 In 0.4212 0.9212 0.9360  4 In 2.96-3.25
15 In 0.4968 0.5032 0.6149  6 In 3.04-3.36, 2 Pb 3.28-3.32
16 In 0.4968 0.9968 0.3851  6 In 3.04-3.36, 2 Pb 3.28-3.32
17 In 0.5032 0.0032 0.6149  6 In 3.04-3.36, 2 Pb 3.28-3.32
18 In 0.5032 0.4968 0.3851  6 In 3.04-3.36, 2 Pb 3.28-3.32
19 In 0.5788 0.0788 0.0640  4 In 2.96-3.25
20 In 0.5788 0.4212 0.9360  4 In 2.96-3.25
21 In 0.7500 0.7500 0.1477  5 In 2.83-3.00
22 In 0.7500 0.7500 0.2896  5 In 2.83-3.04
23 In 0.7500 0.7500 0.7104  5 In 2.83-3.04
24 In 0.7500 0.7500 0.8523  5 In 2.83-3.00
25 In 0.9212 0.0788 0.9360  4 In 2.96-3.25
26 In 0.9212 0.4212 0.0640  4 In 2.96-3.25
27 In 0.9968 0.0032 0.3851  6 In 3.04-3.36, 2 Pb 3.28-3.32
28 In 0.9968 0.4968 0.6149  6 In 3.04-3.36, 2 Pb 3.28-3.32
29 Pb 0.2500 0.7500 0.5000  8 In 3.28-3.32
30 Pb 0.7500 0.2500 0.5000  8 In 3.28-3.32



(7)
# Ac7InPb4

Crystalline Ac7InPb4 at its relaxed geometry (PBE, the Alexandria database).

## Properties
SG: C2/m (12)
ρ in g/cm3: 9.0
Spin magnetization in μB per formula unit: 0.00
ΔE_f in meV/atom: -320

Cell lengths 9.5541, 9.5541, 9.5718 Å; angles 117.87, 117.87, 37.89 degrees
Last column: nearest neighbours and their distance in Å.
Atoms (fractional coordinates):
1 Ac 0.0000 0.0000 0.0000  2 In 3.10, 2 Pb 3.43
2 Ac 0.2116 0.2116 0.8290  4 Pb 3.42-3.56, 1 Ac 3.81
3 Ac 0.3391 0.3391 0.6100  3 Pb 3.39-3.69, 1 In 3.41, 1 Ac 3.71
4 Ac 0.4321 0.4321 0.2728  1 In 3.39, 3 Pb 3.58-3.68, 2 Ac 3.71-3.79
5 Ac 0.5679 0.5679 0.7272  1 In 3.39, 3 Pb 3.58-3.68, 2 Ac 3.71-3.79
6 Ac 0.6609 0.6609 0.3900  3 Pb 3.39-3.69, 1 In 3.41, 1 Ac 3.71
7 Ac 0.7884 0.7884 0.1710  4 Pb 3.42-3.56, 1 Ac 3.81
8 In 0.5000 0.5000 0.0000  6 Ac 3.10-3.41
9 Pb 0.0568 0.0568 0.4122  1 Pb 3.23, 2 Ac 3.55-3.56
10 Pb 0.2183 0.2183 0.2036  6 Ac 3.39-3.58
11 Pb 0.7817 0.7817 0.7964  6 Ac 3.39-3.58
12 Pb 0.9432 0.9432 0.5878  1 Pb 3.23, 2 Ac 3.55-3.56



(8)
# Ac6InPb2

Crystalline Ac6InPb2 at its relaxed geometry (PBE, the Alexandria database).

## Properties
SG: C2/m (12)
ρ in g/cm3: 8.1
Spin magnetization in μB per formula unit: 0.01
ΔE_f in meV/atom: -204

Cell lengths 9.8171, 9.8171, 5.6877 Å; angles 106.73, 106.73, 48.28 degrees
Last column: nearest neighbours and their distance in Å.
Atoms (fractional coordinates):
1 Ac 0.0830 0.5865 0.3355  1 In 3.44, 3 Pb 3.49
2 Ac 0.2446 0.7554 0.0000  2 In 3.46, 2 Pb 3.49
3 Ac 0.4135 0.9170 0.6645  1 In 3.44, 3 Pb 3.49
4 Ac 0.5865 0.0830 0.3355  1 In 3.44, 3 Pb 3.49
5 Ac 0.7554 0.2446 0.0000  2 In 3.46, 2 Pb 3.49
6 Ac 0.9170 0.4135 0.6645  1 In 3.44, 3 Pb 3.49
7 In 0.0000 0.0000 0.5000  8 Ac 3.44-3.46
8 Pb 0.3336 0.3336 0.8347  8 Ac 3.49
9 Pb 0.6664 0.6664 0.1653  8 Ac 3.49